Entry 1:
Material: CdPSe2
Method: DFT, PBE
State: relaxed

Summary:
The value obtained for the formation energy from raw total energies is 0.103 eV/atom. The energy above the most stable polymorph in this dataset is 0.134 eV/atom. The crystal system is trigonal. The space group is R3m (160). The density of states at the Fermi level comes out at 2.29 states/eV/f.u.

Lattice parameters (Å, degrees): 6.9886 6.9886 6.9886 32.47 32.47 32.47
Element x y z (fractional)
Cd 0.0000 0.0000 0.0000
P 0.2410 0.2410 0.2410
Se 0.5086 0.5086 0.5086
Se 0.7459 0.7459 0.7459

=====

Entry 2:
Material: Mg6Cu2Rh
Method: DFT, PBE
State: relaxed

Summary:
For the energy of formation, the calculation gives -137 meV/atom. The crystal system is trigonal. The space group is P-3m1 (164). The density of states at the Fermi level comes out at 3.84 states/eV/f.u.

Lattice parameters (Å, degrees): 4.6014 4.6014 8.5744 90.00 90.00 120.00
Element x y z (fractional)
Mg 0.0000 0.0000 0.1977
Mg 0.0000 0.0000 0.8023
Mg 0.3333 0.6667 0.0527
Mg 0.3333 0.6667 0.4097
Mg 0.6667 0.3333 0.5903
Mg 0.6667 0.3333 0.9473
Cu 0.3333 0.6667 0.7279
Cu 0.6667 0.3333 0.2721
Rh 0.0000 0.0000 0.5000

=====

Entry 3:
Material: CaMnIr
Method: DFT, PBE
State: relaxed

Summary:
For the energy of formation, the calculation gives -27 meV/atom. The energy above the most stable polymorph in this dataset is 0.178 eV/atom. The crystal system is tetragonal. The space group is P4/nmm (129). The density of states at the Fermi level comes out at 2.99 states/eV/f.u.

Lattice parameters (Å, degrees): 4.3599 4.3599 6.3462 90.00 90.00 90.00
Element x y z (fractional)
Ca 0.2500 0.2500 0.1516
Ca 0.7500 0.7500 0.8484
Mn 0.2500 0.7500 0.5000
Mn 0.7500 0.2500 0.5000
Ir 0.2500 0.2500 0.6506
Ir 0.7500 0.7500 0.3494

=====

Entry 4:
Material: Pr3Y4Tl4
Method: DFT, PBE
State: relaxed

Summary:
For the energy of formation, the calculation gives -267 meV/atom. The crystal system is orthorhombic. The space group is Immm (71). The density of states at the Fermi level comes out at 10.72 states/eV/f.u.

Lattice parameters (Å, degrees): 10.5245 10.5245 10.5245 158.73 124.16 60.43
Element x y z (fractional)
Pr 0.0000 0.0000 0.0000
Pr 0.3974 0.8974 0.5000
Pr 0.6026 0.1026 0.5000
Y 0.0319 0.3323 0.6996
Y 0.3673 0.6677 0.6996
Y 0.6327 0.3323 0.3004
Y 0.9681 0.6677 0.3004
Tl 0.2525 0.2525 0.0000
Tl 0.2793 0.5000 0.7793
Tl 0.7207 0.5000 0.2207
Tl 0.7475 0.7475 0.0000

=====

Entry 5:
Material: InHIr
Method: DFT, PBE
State: relaxed

Summary:
The energy above the most stable polymorph in this dataset is 0.120 eV/atom. The crystal system is monoclinic. The space group is C2/c (15). The density of states at the Fermi level comes out at 1.54 states/eV/f.u.

Lattice parameters (Å, degrees): 5.3616 5.3616 5.4590 120.38 120.38 55.04
Element x y z (fractional)
In 0.0000 0.5000 0.0000
In 0.5000 0.0000 0.5000
H 0.2273 0.7727 0.7500
H 0.7727 0.2273 0.2500
Ir 0.0000 0.0000 0.0000
Ir 0.0000 0.0000 0.5000

=====

Entry 6:
Material: CePr6Tm10
Method: DFT, PBE
State: relaxed

Summary:
For the energy of formation, the calculation gives 147 meV/atom. The crystal system is trigonal. The space group is P-31m (162). The density of states at the Fermi level comes out at 28.80 states/eV/f.u.

Lattice parameters (Å, degrees): 9.6584 9.6584 6.9048 90.00 90.00 120.00
Element x y z (fractional)
Ce 0.0000 0.0000 0.0000
Pr 0.0000 0.3792 0.8007
Pr 0.0000 0.6208 0.1993
Pr 0.3792 0.0000 0.8007
Pr 0.3792 0.3792 0.1993
Pr 0.6208 0.0000 0.1993
Pr 0.6208 0.6208 0.8007
Tm 0.0000 0.2723 0.3213
Tm 0.0000 0.7277 0.6787
Tm 0.2723 0.0000 0.3213
Tm 0.2723 0.2723 0.6787
Tm 0.3333 0.6667 0.0000
Tm 0.3333 0.6667 0.5000
Tm 0.6667 0.3333 0.0000
Tm 0.6667 0.3333 0.5000
Tm 0.7277 0.0000 0.6787
Tm 0.7277 0.7277 0.3213

=====

Entry 7:
Material: Re3Ir
Method: DFT, PBE
State: relaxed

Summary:
For the energy of formation, the calculation gives -18 meV/atom. The crystal system is trigonal. The space group is R-3m (166). The density of states at the Fermi level comes out at 3.12 states/eV/f.u.

Lattice parameters (Å, degrees): 9.1702 9.1702 9.1702 17.28 17.28 17.28
Element x y z (fractional)
Re 0.0000 0.0000 0.0000
Re 0.2504 0.2504 0.2504
Re 0.7496 0.7496 0.7496
Ir 0.5000 0.5000 0.5000

=====

Entry 8:
Material: ZrMnIn2
Method: DFT, PBE
State: relaxed

Summary:
For the energy of formation, the calculation gives 29 meV/atom. The crystal system is tetragonal. The space group is I4/mmm (139). The density of states at the Fermi level comes out at 3.19 states/eV/f.u.

Lattice parameters (Å, degrees): 5.3147 5.3147 5.3147 131.83 131.83 70.50
Element x y z (fractional)
Zr 0.0000 0.0000 0.0000
Mn 0.5000 0.5000 0.0000
In 0.2500 0.7500 0.5000
In 0.7500 0.2500 0.5000

=====

Entry 9:
Material: CsCdTe2
Method: DFT, PBE
State: relaxed

Summary:
The value obtained for the formation energy from raw total energies is -0.204 eV/atom. The crystal system is trigonal. The space group is R-3m (166). The density of states at the Fermi level comes out at 4.29 states/eV/f.u.

Lattice parameters (Å, degrees): 10.8544 10.8544 10.8544 22.99 22.99 22.99
Element x y z (fractional)
Cs 0.0000 0.0000 0.0000
Cd 0.5000 0.5000 0.5000
Te 0.1126 0.1126 0.1126
Te 0.8874 0.8874 0.8874

=====

Entry 10:
Material: Ac2Pr5Dy5
Method: DFT, PBE
State: relaxed

Summary:
For the energy of formation, the calculation gives 34 meV/atom. The crystal system is monoclinic. The space group is C2/m (12). The density of states at the Fermi level comes out at 18.55 states/eV/f.u.

Lattice parameters (Å, degrees): 8.2753 8.2753 11.7079 115.29 115.29 36.49
Element x y z (fractional)
Ac 0.0827 0.0827 0.2515
Ac 0.9173 0.9173 0.7485
Pr 0.0000 0.0000 0.5000
Pr 0.1671 0.1671 0.0001
Pr 0.2455 0.2455 0.7466
Pr 0.7545 0.7545 0.2534
Pr 0.8329 0.8329 0.9999
Dy 0.3338 0.3338 0.4978
Dy 0.4149 0.4149 0.2508
Dy 0.5000 0.5000 0.0000
Dy 0.5851 0.5851 0.7492
Dy 0.6662 0.6662 0.5022

=====

Entry 11:
Material: Ho3Se3O
Method: DFT, PBE
State: relaxed

Summary:
The value obtained for the formation energy from raw total energies is -2.096 eV/atom. The crystal system is orthorhombic. The space group is Cmcm (63). The density of states at the Fermi level comes out at 2.32 states/eV/f.u.

Lattice parameters (Å, degrees): 8.7175 8.7175 5.6799 90.00 90.00 119.92
Element x y z (fractional)
Ho 0.1902 0.8098 0.7500
Ho 0.1909 0.3811 0.7500
Ho 0.3811 0.1909 0.2500
Ho 0.6189 0.8091 0.7500
Ho 0.8091 0.6189 0.2500
Ho 0.8098 0.1902 0.2500
Se 0.1812 0.8188 0.2500
Se 0.1822 0.3635 0.2500
Se 0.3635 0.1822 0.7500
Se 0.6365 0.8178 0.2500
Se 0.8178 0.6365 0.7500
Se 0.8188 0.1812 0.7500
O 0.3331 0.6669 0.7500
O 0.6669 0.3331 0.2500

=====

Entry 12:
Material: Th2Np2Ir15
Method: DFT, PBE
State: relaxed

Summary:
For the energy of formation, the calculation gives -384 meV/atom. The crystal system is trigonal. The space group is R-3m (166). The density of states at the Fermi level comes out at 18.44 states/eV/f.u.

Lattice parameters (Å, degrees): 6.9606 6.9606 6.9606 82.62 82.62 82.62
Element x y z (fractional)
Th 0.1485 0.1485 0.1485
Th 0.8515 0.8515 0.8515
Np 0.4147 0.4147 0.4147
Np 0.5853 0.5853 0.5853
Ir 0.0000 0.5000 0.5000
Ir 0.1576 0.1576 0.6567
Ir 0.1576 0.6567 0.1576
Ir 0.1865 0.5000 0.8135
Ir 0.1865 0.8135 0.5000
Ir 0.3433 0.8424 0.8424
Ir 0.5000 0.0000 0.5000
Ir 0.5000 0.1865 0.8135
Ir 0.5000 0.5000 0.0000
Ir 0.5000 0.8135 0.1865
Ir 0.6567 0.1576 0.1576
Ir 0.8135 0.1865 0.5000
Ir 0.8135 0.5000 0.1865
Ir 0.8424 0.3433 0.8424
Ir 0.8424 0.8424 0.3433

=====

Entry 13:
Material: RbCrAg2Cl8
Method: DFT, PBE
State: relaxed

Summary:
The value obtained for the formation energy from raw total energies is -0.865 eV/atom. The crystal system is triclinic. The space group is P-1 (2). The density of states at the Fermi level comes out at 11.83 states/eV/f.u.

Lattice parameters (Å, degrees): 6.2608 6.7230 8.6624 73.20 82.72 87.49
Element x y z (fractional)
Rb 0.0000 0.0000 0.0000
Cr 0.0000 0.5000 0.5000
Ag 0.4253 0.4942 0.2158
Ag 0.5747 0.5058 0.7842
Cl 0.1278 0.4953 0.7435
Cl 0.2462 0.2409 0.4675
Cl 0.2501 0.7551 0.3534
Cl 0.4968 0.2330 0.0554
Cl 0.5032 0.7670 0.9446
Cl 0.7499 0.2449 0.6466
Cl 0.7538 0.7591 0.5325
Cl 0.8722 0.5047 0.2565

=====

Entry 14:
Material: Dy2TiBr
Method: DFT, PBE
State: relaxed

Summary:
The value obtained for the formation energy from raw total energies is -0.015 eV/atom. The crystal system is trigonal. The space group is R-3m (166). The density of states at the Fermi level comes out at 3.91 states/eV/f.u.

Lattice parameters (Å, degrees): 10.8726 10.8726 10.8726 17.81 17.81 17.81
Element x y z (fractional)
Dy 0.0919 0.0919 0.0919
Dy 0.9081 0.9081 0.9081
Ti 0.0000 0.0000 0.0000
Br 0.5000 0.5000 0.5000

=====

Entry 15:
Material: Ho2SnPb
Method: DFT, PBE
State: relaxed

Summary:
For the energy of formation, the calculation gives -447 meV/atom. The energy above the most stable polymorph in this dataset is 0.130 eV/atom. The crystal system is cubic. The space group is Fm-3m (225). The density of states at the Fermi level comes out at 2.87 states/eV/f.u.

Lattice parameters (Å, degrees): 5.3862 5.3862 5.3862 60.00 60.00 60.00
Element x y z (fractional)
Ho 0.2500 0.2500 0.2500
Ho 0.7500 0.7500 0.7500
Sn 0.0000 0.0000 0.0000
Pb 0.5000 0.5000 0.5000

=====

Entry 16:
Material: NaGd2Dy
Method: DFT, PBE
State: relaxed

Summary:
For the energy of formation, the calculation gives 147 meV/atom. The energy above the most stable polymorph in this dataset is 0.034 eV/atom. The crystal system is trigonal. The space group is R-3m (166). The density of states at the Fermi level comes out at 4.98 states/eV/f.u.

Lattice parameters (Å, degrees): 12.8243 12.8243 12.8243 15.78 15.78 15.78
Element x y z (fractional)
Na 0.0000 0.0000 0.0000
Gd 0.0922 0.0922 0.0922
Gd 0.9078 0.9078 0.9078
Dy 0.5000 0.5000 0.5000

=====

Entry 17:
Material: Li6GePd
Method: DFT, PBE
State: relaxed

Summary:
For the energy of formation, the calculation gives -268 meV/atom. The crystal system is orthorhombic. The space group is Amm2 (38). The density of states at the Fermi level comes out at 3.74 states/eV/f.u.

Lattice parameters (Å, degrees): 4.5835 5.5646 5.5646 60.45 90.00 90.00
Element x y z (fractional)
Li 0.0000 0.0000 0.0000
Li 0.0000 0.5343 0.9992
Li 0.0000 0.9992 0.5343
Li 0.5000 0.3510 0.3510
Li 0.5000 0.3521 0.8237
Li 0.5000 0.8237 0.3521
Ge 0.5000 0.8432 0.8432
Pd 0.0000 0.5106 0.5106

=====

Entry 18:
Material: FeHPdRh2
Method: DFT, PBE
State: relaxed

Summary:
The energy above the most stable polymorph in this dataset is 0.000 eV/atom. The crystal system is tetragonal. The space group is P4/mmm (123). The density of states at the Fermi level comes out at 3.32 states/eV/f.u.

Lattice parameters (Å, degrees): 3.9051 3.9051 3.9038 90.00 90.00 90.00
Element x y z (fractional)
Fe 0.0000 0.0000 0.0000
H 0.5000 0.5000 0.5000
Pd 0.5000 0.5000 0.0000
Rh 0.0000 0.5000 0.5000
Rh 0.5000 0.0000 0.5000

=====

Entry 19:
Material: NpTiSe3
Method: DFT, PBE
State: relaxed

Summary:
The value obtained for the formation energy from raw total energies is -1.134 eV/atom. The energy above the most stable polymorph in this dataset is 0.000 eV/atom. The crystal system is orthorhombic. The space group is Pnma (62). The density of states at the Fermi level comes out at 9.00 states/eV/f.u.

Lattice parameters (Å, degrees): 8.3996 3.7451 13.8648 90.00 90.00 90.00
Element x y z (fractional)
Np 0.1378 0.2500 0.1928
Np 0.3622 0.7500 0.6928
Np 0.6378 0.2500 0.3072
Np 0.8622 0.7500 0.8072
Ti 0.1589 0.7500 0.4582
Ti 0.3411 0.2500 0.9582
Ti 0.6589 0.7500 0.0418
Ti 0.8411 0.2500 0.5418
Se 0.0141 0.7500 0.6184
Se 0.1589 0.2500 0.8042
Se 0.1627 0.7500 0.0302
Se 0.3373 0.2500 0.5302
Se 0.3411 0.7500 0.3042
Se 0.4859 0.2500 0.1184
Se 0.5141 0.7500 0.8816
Se 0.6589 0.2500 0.6958
Se 0.6627 0.7500 0.4698
Se 0.8373 0.2500 0.9698
Se 0.8411 0.7500 0.1958
Se 0.9859 0.2500 0.3816

=====

Entry 20:
Material: GdAgSbPd
Method: DFT, PBE
State: relaxed

Summary:
The value obtained for the formation energy from raw total energies is -0.575 eV/atom. The crystal system is cubic. The space group is F-43m (216). The density of states at the Fermi level comes out at 2.01 states/eV/f.u.

Lattice parameters (Å, degrees): 4.9373 4.9373 4.9373 60.00 60.00 60.00
Element x y z (fractional)
Gd 0.0000 0.0000 0.0000
Ag 0.7500 0.7500 0.7500
Sb 0.5000 0.5000 0.5000
Pd 0.2500 0.2500 0.2500

=====

Entry 21:
Material: Y2CoSe
Method: DFT, PBE
State: relaxed

Summary:
The value obtained for the formation energy from raw total energies is 0.092 eV/atom. The crystal system is cubic. The space group is F-43m (216). The density of states at the Fermi level comes out at 3.63 states/eV/f.u.

Lattice parameters (Å, degrees): 4.9049 4.9049 4.9049 60.00 60.00 60.00
Element x y z (fractional)
Y 0.0000 0.0000 0.0000
Y 0.2500 0.2500 0.2500
Co 0.7500 0.7500 0.7500
Se 0.5000 0.5000 0.5000